This record from Alexandria describes a relaxed structure of RbZnMo3. The functional is PBE.

Cell and atoms, written as CIF:
```
data_RbZnMo3
_chemical_formula_sum 'Rb1 Zn1 Mo3'
_symmetry_space_group_name_H-M 'P 1'
_symmetry_Int_Tables_number 1
_cell_length_a 4.8928
_cell_length_b 4.8928
_cell_length_c 4.8928
_cell_angle_alpha 90.00
_cell_angle_beta 90.00
_cell_angle_gamma 90.00
loop_
_symmetry_equiv_pos_as_xyz
'x,y,z'
loop_
_atom_site_label
_atom_site_fract_x
_atom_site_fract_y
_atom_site_fract_z
Mo1 0.0000 0.5000 0.0000
Mo2 0.0000 0.0000 0.5000
Mo3 0.5000 0.0000 0.0000
Zn1 0.0000 0.0000 0.0000
Rb1 0.5000 0.5000 0.5000
```

Results
* DFT formation energy: 2.1977 eV per atom
* magnetic moment: 1.1235 μB per atom
* symmetry: No. 221
* polymorph energy (0 for the lowest one): 0.00 eV/f.u.

This record from Alexandria describes a relaxed structure of Sc2ZnSi2Ru5. The functional is PBE.

Cell and atoms, written as CIF:
```
data_Sc2ZnSi2Ru5
_chemical_formula_sum 'Sc4 Zn2 Si4 Ru10'
_symmetry_space_group_name_H-M 'P 1'
_symmetry_Int_Tables_number 1
_cell_length_a 3.2255
_cell_length_b 9.6775
_cell_length_c 9.6775
_cell_angle_alpha 90.00
_cell_angle_beta 90.00
_cell_angle_gamma 90.00
loop_
_symmetry_equiv_pos_as_xyz
'x,y,z'
loop_
_atom_site_label
_atom_site_fract_x
_atom_site_fract_y
_atom_site_fract_z
Sc1 0.0000 0.6706 0.1706
Sc2 0.0000 0.3294 0.8294
Sc3 0.0000 0.1706 0.3294
Sc4 0.0000 0.8294 0.6706
Zn1 0.0000 0.0000 0.0000
Zn2 0.0000 0.5000 0.5000
Si1 0.0000 0.1309 0.6309
Si2 0.0000 0.8691 0.3691
Si3 0.0000 0.6309 0.8691
Si4 0.0000 0.3691 0.1309
Ru1 0.5000 0.2034 0.0697
Ru2 0.5000 0.7966 0.9303
Ru3 0.5000 0.0697 0.7966
Ru4 0.5000 0.7034 0.4303
Ru5 0.5000 0.9303 0.2034
Ru6 0.5000 0.2966 0.5697
Ru7 0.5000 0.5697 0.7034
Ru8 0.5000 0.4303 0.2966
Ru9 0.5000 0.5000 0.0000
Ru10 0.5000 0.0000 0.5000
```

Results
* magnetic moment: 0.0000 μB per atom
* symmetry: No. 127
* E_form (uncorrected): -0.566 eV per atom

DOS at the Fermi energy, respectively: 7.51, 24.45 states/eV/cell.